1.
Computed, not measured: a geometry-optimized Co3Pt2Rh2 structure at the PBE level of DFT.

Structure (extended XYZ):
```
7
Lattice="-2.4530 1.1036 -2.6534 2.4262 -3.7893 -1.1289 -3.9012 -1.2849 5.7621" Properties=species:S:1:pos:R:3 pbc="T T T"
Co 0.0000 0.0000 0.0000
Co -4.0664 -1.5964 3.0953
Co 0.1385 -2.3743 -1.1155
Pt -2.0993 -0.9697 -1.1527
Pt -1.8286 -3.0009 3.1324
Rh -2.0073 -0.7393 1.5482
Rh -1.9206 -3.2313 0.4316
```

Output
The energy above the most stable polymorph in this dataset comes out at 0.0 meV/atom. For the formation energy, the calculation gives -0.03 eV/atom.


2.
Computed, not measured: a geometry-optimized Co3Pt3Rh structure at the PBE level of DFT.

Structure (extended XYZ):
```
28
Lattice="-0.0329 1.7174 7.1601 -4.7843 -5.4476 1.2847 5.5970 -4.6466 1.1402" Properties=species:S:1:pos:R:3 pbc="T T T"
Co -0.6572 -1.1620 6.5624
Co 0.6631 -7.1240 8.1515
Co -1.1785 -3.7074 7.3204
Co -2.1294 -5.7659 2.6586
Co 0.1169 -1.2562 1.4374
Co -0.4405 -7.0497 4.3394
Co 1.9540 -4.6705 2.2617
Co 3.8239 -4.2154 3.5294
Co 3.0616 -4.7404 6.0727
Co 0.5222 -5.6104 6.4196
Co 1.2245 -1.3275 5.2426
Co -2.2822 -3.6317 3.5142
Pt -2.7659 -2.4915 5.7271
Pt -3.5788 -4.5220 7.6551
Pt 0.2761 -6.5441 1.9378
Pt -0.3686 -3.7276 1.8776
Pt 1.8943 -2.2559 2.9797
Pt 1.1581 -8.8527 3.4848
Pt 3.9806 -3.3834 8.0352
Pt 1.9585 -6.1669 4.2890
Pt -0.8219 -1.5773 3.7938
Pt 3.5484 -2.3372 5.3482
Pt 1.2730 -3.1536 6.9783
Pt -1.8753 -5.2488 5.4033
Rh 2.8853 -7.3423 2.0067
Rh 2.7915 -0.9683 7.5849
Rh 0.3659 -3.9314 4.4984
Rh -4.4833 -4.5117 5.0799
```

Output
For the formation energy, the calculation gives 0.10 eV/atom.


3.
Computed, not measured: a geometry-optimized Co2PtRh structure at the PBE level of DFT.

Structure (extended XYZ):
```
4
Lattice="4.5489 -0.0001 -0.0039 3.7582 2.5628 -0.0039 0.7925 0.2445 4.5643" Properties=species:S:1:pos:R:3 pbc="T T T"
Co 0.7918 0.2443 4.5228
Co 4.5506 1.4039 2.3197
Rh 6.8247 2.1054 3.4173
Pt 2.2749 0.7018 1.1391
```

Output
For the formation energy, the calculation gives 0.00 eV/atom.